{
  "formula": "DyGa2SbO8",
  "functional": "PBE-GGA",
  "state": "relaxed",
  "cell": [[-3.413, 3.413, 3.294], [3.413, -3.413, 3.294], [3.413, 3.413, -3.294]],
  "species": ["Dy", "Ga", "Ga", "Sb", "O", "O", "O", "O", "O", "O", "O", "O"],
  "frac_coords": [[0.000, 0.000, 0.000], [0.500, 0.500, 0.000], [0.750, 0.250, 0.500], [0.250, 0.750, 0.500], [0.308, 0.107, 0.800], [0.308, 0.508, 0.200], [0.363, 0.038, 0.325], [0.492, 0.692, 0.800], [0.713, 0.038, 0.675], [0.893, 0.692, 0.200], [0.962, 0.287, 0.325], [0.962, 0.637, 0.675]],
  "spacegroup": "No. 119",
  "total_energy_ev_per_atom": -6.1285,
  "total_magnetization_mub_per_fu": 2.1,
  "formation_energy_uncorrected_mev_per_atom": -1591
}

=====

{
  "formula": "Ba3CoBi",
  "functional": "PBE-GGA",
  "state": "relaxed",
  "cell": [[5.754, 0.000, 0.000], [0.000, 5.754, 0.000], [0.000, 0.000, 5.754]],
  "species": ["Ba", "Ba", "Ba", "Co", "Bi"],
  "frac_coords": [[0.000, 0.000, 0.500], [0.000, 0.500, 0.000], [0.500, 0.000, 0.000], [0.000, 0.000, 0.000], [0.500, 0.500, 0.500]],
  "relative_energy_ev_per_atom": 0.0000,
  "formation_enthalpy_0k_ev_per_fu": -0.95,
  "spacegroup": "No. 221",
  "total_energy_ev_per_atom": -3.5408,
  "total_magnetization_mub_per_fu": 0.0
}

=====

{
  "formula": "B2C3",
  "functional": "PBE-GGA",
  "state": "relaxed",
  "cell": [[-1.241, 1.243, 10.462], [1.241, -1.243, 10.462], [1.241, 1.243, -10.462]],
  "species": ["B", "B", "B", "B", "C", "C", "C", "C", "C", "C"],
  "frac_coords": [[0.000, 0.000, 0.000], [0.207, 0.207, 0.000], [0.270, 0.770, 0.500], [0.645, 0.145, 0.500], [0.053, 0.553, 0.500], [0.408, 0.408, 0.000], [0.449, 0.949, 0.500], [0.592, 0.592, 0.000], [0.821, 0.821, 0.000], [0.862, 0.362, 0.500]],
  "relative_energy_ev_per_atom": 0.0656,
  "formation_enthalpy_0k_ev_per_fu": 1.51,
  "spacegroup": "No. 44",
  "total_energy_ev_per_atom": -7.9036,
  "total_magnetization_mub_per_fu": 0.0
}

=====

{
  "formula": "HoMnAl3",
  "functional": "PBE-GGA",
  "state": "relaxed",
  "cell": [[6.232, 0.000, 0.000], [-3.116, 5.397, 0.000], [0.000, 0.000, 5.414]],
  "species": ["Ho", "Ho", "Mn", "Mn", "Al", "Al", "Al", "Al", "Al", "Al"],
  "frac_coords": [[0.333, 0.667, 0.250], [0.667, 0.333, 0.750], [0.000, 0.000, 0.000], [0.000, 0.000, 0.500], [0.187, 0.375, 0.750], [0.187, 0.813, 0.750], [0.375, 0.187, 0.250], [0.625, 0.813, 0.750], [0.813, 0.187, 0.250], [0.813, 0.625, 0.250]],
  "relative_energy_ev_per_atom": 0.0000,
  "formation_enthalpy_0k_ev_per_fu": -1.28,
  "spacegroup": "No. 194",
  "total_energy_ev_per_atom": -5.2519,
  "total_magnetization_mub_per_fu": 1.8
}

=====

{
  "formula": "LaPmMgCd",
  "functional": "PBE-GGA",
  "state": "relaxed",
  "cell": [[3.900, 0.000, 0.000], [0.000, 3.900, 0.000], [0.000, 0.000, 7.781]],
  "species": ["La", "Pm", "Mg", "Cd"],
  "frac_coords": [[0.000, 0.000, 0.000], [0.000, 0.000, 0.500], [0.500, 0.500, 0.260], [0.500, 0.500, 0.737]],
  "relative_energy_ev_per_atom": 0.0000,
  "formation_enthalpy_0k_ev_per_fu": -0.86,
  "spacegroup": "No. 99",
  "total_energy_ev_per_atom": -3.2620,
  "total_magnetization_mub_per_fu": 0.0
}

=====

{
  "formula": "Th2CdIn",
  "functional": "PBE-GGA",
  "state": "relaxed",
  "cell": [[4.861, 0.000, 0.000], [0.000, 4.743, 0.000], [0.000, 0.000, 9.719]],
  "species": ["Th", "Th", "Th", "Th", "Cd", "Cd", "In", "In"],
  "frac_coords": [[0.250, 0.000, 0.124], [0.250, 0.000, 0.625], [0.750, 0.000, 0.375], [0.750, 0.000, 0.876], [0.250, 0.500, 0.876], [0.750, 0.500, 0.124], [0.250, 0.500, 0.372], [0.750, 0.500, 0.628]],
  "formation_enthalpy_0k_ev_per_fu": -0.76,
  "spacegroup": "No. 51",
  "total_energy_ev_per_atom": -4.8139,
  "total_magnetization_mub_per_fu": 0.0
}

=====

{
  "formula": "La2Pr2Sn",
  "functional": "PBE-GGA",
  "state": "relaxed",
  "cell": [[5.632, 0.000, 0.000], [-2.816, 4.878, 0.000], [0.000, 0.000, 6.754]],
  "species": ["La", "La", "Pr", "Pr", "Sn"],
  "frac_coords": [[0.000, 0.000, 0.000], [0.333, 0.667, 0.500], [0.667, 0.333, 0.267], [0.667, 0.333, 0.733], [0.000, 0.000, 0.500]],
  "relative_energy_ev_per_atom": 0.1244,
  "formation_enthalpy_0k_ev_per_fu": -0.29,
  "spacegroup": "No. 187",
  "total_energy_ev_per_atom": -4.7423,
  "total_magnetization_mub_per_fu": 1.2
}

=====

{
  "formula": "GeIO2F",
  "functional": "PBE-GGA",
  "state": "relaxed",
  "cell": [[3.622, 0.000, 0.000], [0.000, 3.622, 0.000], [0.000, 0.000, 6.408]],
  "species": ["Ge", "I", "O", "O", "F"],
  "frac_coords": [[0.000, 0.000, 0.000], [0.000, 0.000, 0.500], [0.000, 0.500, 0.000], [0.500, 0.000, 0.000], [0.500, 0.500, 0.500]],
  "spacegroup": "No. 123",
  "total_energy_ev_per_atom": -4.1812,
  "total_magnetization_mub_per_fu": 0.0,
  "formation_energy_uncorrected_mev_per_atom": -590
}

=====

{
  "formula": "Ba4AlBi4",
  "functional": "PBE-GGA",
  "state": "relaxed",
  "cell": [[10.240, 0.000, 0.000], [0.000, 10.240, 0.000], [0.000, 0.000, 7.370]],
  "species": ["Ba", "Ba", "Ba", "Ba", "Ba", "Ba", "Ba", "Ba", "Al", "Al", "Bi", "Bi", "Bi", "Bi", "Bi", "Bi", "Bi", "Bi"],
  "frac_coords": [[0.013, 0.250, 0.050], [0.250, 0.013, 0.550], [0.250, 0.487, 0.550], [0.487, 0.250, 0.050], [0.513, 0.750, 0.950], [0.750, 0.513, 0.450], [0.750, 0.987, 0.450], [0.987, 0.750, 0.950], [0.250, 0.750, 0.250], [0.750, 0.250, 0.750], [0.016, 0.750, 0.457], [0.250, 0.516, 0.043], [0.250, 0.984, 0.043], [0.484, 0.750, 0.457], [0.516, 0.250, 0.543], [0.750, 0.016, 0.957], [0.750, 0.484, 0.957], [0.984, 0.250, 0.543]],
  "formation_enthalpy_0k_ev_per_fu": -6.85,
  "spacegroup": "No. 137",
  "total_energy_ev_per_atom": -3.7558,
  "total_magnetization_mub_per_fu": 0.0
}

=====

{
  "formula": "Tb2Mg3Tl3",
  "functional": "PBE-GGA",
  "state": "relaxed",
  "cell": [[4.828, 0.000, 0.000], [0.000, 4.905, 0.000], [0.000, 0.000, 8.577]],
  "species": ["Tb", "Tb", "Mg", "Mg", "Mg", "Tl", "Tl", "Tl"],
  "frac_coords": [[0.000, 0.000, 0.248], [0.000, 0.000, 0.752], [0.000, 0.500, 0.500], [0.500, 0.500, 0.252], [0.500, 0.500, 0.748], [0.000, 0.500, 0.000], [0.500, 0.000, 0.000], [0.500, 0.000, 0.500]],
  "formation_enthalpy_0k_ev_per_fu": -1.94,
  "spacegroup": "No. 47",
  "total_energy_ev_per_atom": -2.8849,
  "total_magnetization_mub_per_fu": 0.0
}

=====

{
  "formula": "Ho2Er4TmSc",
  "functional": "PBE-GGA",
  "state": "relaxed",
  "cell": [[4.920, 0.000, 0.000], [0.000, 4.920, 0.000], [0.000, 0.000, 9.829]],
  "species": ["Ho", "Ho", "Er", "Er", "Er", "Er", "Tm", "Sc"],
  "frac_coords": [[0.000, 0.000, 0.000], [0.500, 0.500, 0.500], [0.000, 0.500, 0.246], [0.000, 0.500, 0.754], [0.500, 0.000, 0.246], [0.500, 0.000, 0.754], [0.000, 0.000, 0.500], [0.500, 0.500, 0.000]],
  "formation_enthalpy_0k_ev_per_fu": 0.27,
  "spacegroup": "No. 123",
  "total_energy_ev_per_atom": -4.7423,
  "total_magnetization_mub_per_fu": 0.0
}

=====

{
  "formula": "LaTl2Co",
  "functional": "PBE-GGA",
  "state": "relaxed",
  "cell": [[4.748, -1.876, 0.000], [4.748, 1.876, 0.000], [-2.877, 0.000, 5.811]],
  "species": ["La", "Tl", "Tl", "Co"],
  "frac_coords": [[0.000, 0.000, 0.000], [0.619, 0.619, 0.664], [0.820, 0.820, 0.364], [0.338, 0.338, 0.698]],
  "formation_enthalpy_0k_ev_per_fu": -0.01,
  "spacegroup": "No. 8",
  "total_energy_ev_per_atom": -4.1945,
  "total_magnetization_mub_per_fu": 0.0
}